No. 1
# PmTlBi2O5

PmTlBi2O5 after structural relaxation (GGA-PBE, Alexandria via LeMat-Bulk).

a = 4.143 Å, b = 4.143 Å, c = 9.646 Å
α = 90.00°, β = 90.00°, γ = 90.00°
Sites, in units of the cell vectors:
1 Pm 0.000 0.000 0.000
2 Tl 0.000 0.000 0.500
3 Bi 0.500 0.500 0.249
4 Bi 0.500 0.500 0.751
5 O 0.000 0.500 0.147
6 O 0.000 0.500 0.853
7 O 0.500 0.000 0.147
8 O 0.500 0.000 0.853
9 O 0.500 0.500 0.500

Summary:
As for the volume: 166 Å³/cell. The total DFT energy (no corrections) is -6.045 eV/atom. Its calculated density is 8.5 g cm⁻³. The calculation puts the magnetic moment at 0.00 μB/f.u.

=====

No. 2
# Pm2Tl3BiO6

Pm2Tl3BiO6 after structural relaxation (GGA-PBE, Alexandria via LeMat-Bulk).

a = 6.292 Å, b = 6.292 Å, c = 6.854 Å
α = 98.80°, β = 98.80°, γ = 120.00°
Sites, in units of the cell vectors:
1 Pm 0.167 0.833 0.000
2 Pm 0.833 0.167 0.000
3 Tl 0.000 0.000 0.500
4 Tl 0.334 0.666 0.500
5 Tl 0.666 0.334 0.500
6 Bi 0.500 0.500 0.000
7 O 0.101 0.440 0.819
8 O 0.221 0.221 0.181
9 O 0.440 0.101 0.819
10 O 0.560 0.899 0.181
11 O 0.779 0.779 0.819
12 O 0.899 0.560 0.181

Summary:
As for the volume: 224 Å³/cell. The total DFT energy (no corrections) is -5.996 eV/atom. Its calculated density is 9.0 g cm⁻³. The calculation puts the magnetic moment at 0.00 μB/f.u.